[1]
Material: Sr4YHg
Method: DFT, PBE
State: optimized geometry

Results
The value obtained for the spin magnetization is 0.2585 μB/atom. The density of states at the Fermi level is 10.51 states/eV per cell. The formation energy comes out at 0.4277 eV per atom.

Cell lengths 7.3053, 7.3053, 7.3053 Å; angles 60.00, 60.00, 60.00 degrees
Last column: nearest neighbours and their distance in Å.
Element x y z (fractional)
Sr 0.8728 0.3757 0.3757  6 Sr 3.63-3.67
Sr 0.3757 0.3757 0.8728  6 Sr 3.63-3.67
Sr 0.3757 0.8728 0.3757  6 Sr 3.63-3.67
Sr 0.3757 0.3757 0.3757  6 Sr 3.63-3.67
Y 0.7500 0.7500 0.7500  12 Sr 4.28, 4 Hg 4.47
Hg 0.0000 0.0000 0.0000  12 Sr 4.29, 4 Y 4.47


[2]
Material: Sr2ErRu3O12
Method: DFT, PBE
State: optimized geometry

Results
The value obtained for the spin magnetization is 0.2069 μB/atom. The density of states at the Fermi level is 8.32 states/eV per cell. The raw formation energy is -28.8 eV/f.u.

Cell lengths 6.6552, 6.6552, 6.6552 Å; angles 66.64, 66.64, 66.64 degrees
Last column: nearest neighbours and their distance in Å.
Element x y z (fractional)
Sr 0.6141 0.6141 0.6141  3 O 2.43
Sr 0.3859 0.3859 0.3859  3 O 2.43
Er 0.0000 0.0000 0.0000  6 O 2.42
Ru 0.5000 0.0000 0.0000  6 O 1.89-1.95
Ru 0.0000 0.5000 0.0000  6 O 1.89-1.95
Ru 0.0000 0.0000 0.5000  6 O 1.89-1.95
O 0.2810 0.2810 0.8849  2 Ru 1.95
O 0.8620 0.8620 0.4111  1 Ru 1.89
O 0.4111 0.8620 0.8620  1 Ru 1.89
O 0.8849 0.2810 0.2810  2 Ru 1.95
O 0.8620 0.4111 0.8620  1 Ru 1.89
O 0.2810 0.8849 0.2810  2 Ru 1.95
O 0.7190 0.7190 0.1151  2 Ru 1.95
O 0.1380 0.1380 0.5889  1 Ru 1.89
O 0.5889 0.1380 0.1380  1 Ru 1.89
O 0.1151 0.7190 0.7190  2 Ru 1.95
O 0.1380 0.5889 0.1380  1 Ru 1.89
O 0.7190 0.1151 0.7190  2 Ru 1.95


[3]
Material: AcSmRu
Method: DFT, PBE
State: optimized geometry

Results
The value obtained for the spin magnetization is 0.0000 μB/atom. The density of states at the Fermi level is 4.65 states/eV per cell. The formation energy comes out at -0.1937 eV per atom. For the energy above the most stable polymorph in this dataset, the calculation gives 0.000 eV/atom.

Cell lengths 4.0666, 8.7402, 7.3570 Å; angles 131.61, 74.21, 89.66 degrees
Last column: nearest neighbours and their distance in Å.
Element x y z (fractional)
Ac 0.0685 0.7230 0.8588  3 Ru 2.95-3.29
Ac 0.9315 0.2770 0.1412  3 Ru 2.95-3.29
Sm 0.3119 0.7844 0.3785  3 Ru 2.84-2.99
Sm 0.6881 0.2156 0.6215  3 Ru 2.84-2.99
Ru 0.6210 0.9620 0.7614  3 Sm 2.84-2.99, 2 Ac 2.95, 1 Ru 2.96
Ru 0.3790 0.0380 0.2386  3 Sm 2.84-2.99, 2 Ac 2.95, 1 Ru 2.96